# PBE+U UVPb2O8, optimized geometry
# Total DFT energy (no corrections) = -0.53872 Ry/atom
# Crystal system = monoclinic
# Spin magnetization = 0.00 Bohr magnetons per cell
data_UVPb2O8
_symmetry_space_group_name_H-M 'P 1'
_symmetry_Int_Tables_number 1
_symmetry_space_group_name_Hall 'P 1'
_cell_length_a 5.2473
_cell_length_b 6.5815
_cell_length_c 5.2619
_cell_angle_alpha 90.00
_cell_angle_beta 91.26
_cell_angle_gamma 90.00
loop_
_atom_site_label
_atom_site_type_symbol
_atom_site_fract_x
_atom_site_fract_y
_atom_site_fract_z
U1 U 0.0000 0.0000 0.0000
V1 V 0.0000 0.5000 0.0000
Pb1 Pb 0.5000 0.2644 0.5000
Pb2 Pb 0.5000 0.7356 0.5000
O1 O 0.1684 0.2645 0.8333
O2 O 0.1684 0.7355 0.8333
O3 O 0.2477 0.5000 0.2489
O4 O 0.2733 0.0000 0.2745
O5 O 0.7267 0.0000 0.7255
O6 O 0.7523 0.5000 0.7511
O7 O 0.8316 0.2645 0.1667
O8 O 0.8316 0.7355 0.1667